Entry 1:
Rb2Zn2Te | PBE-GGA | optimized geometry

Cell and atoms, written as POSCAR:
```
Rb2Zn2Te
1.0
-3.364 3.364 4.672
3.364 -3.364 4.672
3.364 3.364 -4.672
Rb Zn Te
2 2 1
direct
0.250 0.750 0.500
0.750 0.250 0.500
0.157 0.157 0.000
0.843 0.843 0.000
0.500 0.500 0.000
```

The excess energy over the best structure of this formula in the dataset comes out at 0.060 eV per atom. The uncorrected formation energy comes out at -0.130 eV/atom. For the total energy, the calculation gives -1.66 eV/atom.

Entry 2:
Rb3Zn2Te4 | PBE-GGA | optimized geometry

Cell and atoms, written as POSCAR:
```
Rb3Zn2Te4
1.0
8.477 -2.137 0.000
8.477 2.137 0.000
-5.475 0.000 9.355
Rb Zn Te
3 2 4
direct
0.000 0.000 0.000
0.394 0.394 0.289
0.606 0.606 0.711
0.306 0.306 0.649
0.694 0.694 0.351
0.121 0.121 0.415
0.305 0.305 0.889
0.695 0.695 0.111
0.879 0.879 0.585
```

The excess energy over the best structure of this formula in the dataset comes out at 0.011 eV per atom. The uncorrected formation energy comes out at -0.702 eV/atom. For the total energy, the calculation gives -2.70 eV/atom.

Entry 3:
Rb2ZnTe | PBE-GGA | optimized geometry

Cell and atoms, written as POSCAR:
```
Rb2ZnTe
1.0
0.000 4.335 4.335
4.335 0.000 4.335
4.335 4.335 0.000
Rb Zn Te
2 1 1
direct
0.250 0.250 0.250
0.750 0.750 0.750
0.000 0.000 0.000
0.500 0.500 0.500
```

The excess energy over the best structure of this formula in the dataset comes out at 0.000 eV per atom. The uncorrected formation energy comes out at -0.535 eV/atom. For the total energy, the calculation gives -2.12 eV/atom.

Entry 4:
RbZn2Te | PBE-GGA | optimized geometry

Cell and atoms, written as POSCAR:
```
RbZn2Te
1.0
-4.456 4.456 3.532
4.456 -4.456 3.532
4.456 4.456 -3.532
Rb Zn Te
2 4 2
direct
0.000 0.000 0.000
0.750 0.250 0.500
0.197 0.625 0.072
0.375 0.447 0.572
0.553 0.125 0.928
0.875 0.803 0.428
0.250 0.750 0.500
0.500 0.500 0.000
```

The uncorrected formation energy comes out at -0.018 eV/atom. For the total energy, the calculation gives -1.68 eV/atom.

Entry 5:
RbZrZnTe2 | PBE-GGA | optimized geometry

Cell and atoms, written as POSCAR:
```
RbZrZnTe2
1.0
5.692 0.000 0.000
0.000 5.692 0.000
0.000 0.000 5.485
Rb Zr Zn Te
1 1 1 2
direct
0.000 0.000 0.000
0.500 0.500 0.500
0.500 0.500 0.000
0.000 0.500 0.500
0.500 0.000 0.500
```

The uncorrected formation energy comes out at -0.510 eV/atom. For the total energy, the calculation gives -3.92 eV/atom.

Entry 6:
Rb2Zr2Te5 | PBE-GGA | optimized geometry

Cell and atoms, written as POSCAR:
```
Rb2Zr2Te5
1.0
7.780 -2.895 0.000
7.780 2.895 0.000
-1.970 0.000 8.825
Rb Zr Te
2 2 5
direct
0.096 0.096 0.319
0.904 0.904 0.681
0.342 0.342 0.106
0.658 0.658 0.894
0.163 0.163 0.942
0.362 0.362 0.405
0.500 0.500 0.000
0.638 0.638 0.595
0.837 0.837 0.058
```

The uncorrected formation energy comes out at -0.852 eV/atom. For the total energy, the calculation gives -4.71 eV/atom.